Computed, not measured: a relaxed CrFe2AsO6 crystal at the GGA+U level of DFT.

Values from the calculation:
energy: -6.764 eV per atom
size of the total moment: 5.00 μB per cell

Cell lengths 5.146, 5.166, 5.391 Å; angles 61.54, 61.71, 60.33 degrees
Space group P1 (No. 1)
One atom of each set of equivalent atoms:
Cr  0.000  0.000  0.000 [1 per cell]
Fe  0.213  0.207  0.365 [1 per cell]
Fe  0.720  0.713  0.854 [1 per cell]
As  0.504  0.502  0.492 [1 per cell]
O  0.149  0.760  0.702 [1 per cell]
O  0.301  0.628  0.211 [1 per cell]
O  0.380  0.154  0.695 [1 per cell]
O  0.628  0.863  0.226 [1 per cell]
O  0.757  0.384  0.707 [1 per cell]
O  0.867  0.284  0.226 [1 per cell]